The following is a GGA-PBEsol calculation of a relaxed structure of TaAlHg, from the Alexandria database.

```
data_TaAlHg
_cell_length_a 6.371
_cell_length_b 6.371
_cell_length_c 6.371
_cell_angle_alpha 90.00
_cell_angle_beta 90.00
_cell_angle_gamma 90.00
_space_group_name_H-M_alt 'F -4 3 m'
_space_group_IT_number 216
_space_group_name_Hall 'F -4 2 3'
loop_
_atom_site_label
_atom_site_type_symbol
_atom_site_fract_x
_atom_site_fract_y
_atom_site_fract_z
_atom_site_occupancy
Ta1 Ta 0.000 0.000 0.000 1
Al1 Al 0.250 0.250 0.750 1
Hg1 Hg 0.250 0.250 0.250 1
```

Values from the calculation:
Offset from the most stable computed form = 74.8 meV per atom
Energy of formation from the pure elements = 0.748 eV per atom
Total energy = -15.0 eV/f.u.



The following is a GGA-PBEsol calculation of a relaxed structure of TcPRh2, from the Alexandria database.

```
data_TcPRh2
_cell_length_a 5.171
_cell_length_b 7.518
_cell_length_c 2.720
_cell_angle_alpha 90.00
_cell_angle_beta 90.00
_cell_angle_gamma 90.00
_space_group_name_H-M_alt 'C m m m'
_space_group_IT_number 65
_space_group_name_Hall '-C 2 2'
loop_
_atom_site_label
_atom_site_type_symbol
_atom_site_fract_x
_atom_site_fract_y
_atom_site_fract_z
_atom_site_occupancy
Tc1 Tc 0.000 0.000 0.000 1
P1 P 0.000 0.500 0.000 1
Rh1 Rh 0.250 0.250 0.500 1
```

Values from the calculation:
Energy of formation from the pure elements = -0.055 eV per atom
Total energy = -33.6 eV/f.u.



The following is a GGA-PBEsol calculation of a relaxed structure of TaRuPb, from the Alexandria database.

```
data_TaRuPb
_cell_length_a 3.116
_cell_length_b 3.116
_cell_length_c 11.504
_cell_angle_alpha 90.00
_cell_angle_beta 90.00
_cell_angle_gamma 90.00
_space_group_name_H-M_alt 'I 4 m m'
_space_group_IT_number 107
_space_group_name_Hall 'I 4 -2'
loop_
_atom_site_label
_atom_site_type_symbol
_atom_site_fract_x
_atom_site_fract_y
_atom_site_fract_z
_atom_site_occupancy
Ta1 Ta 0.000 0.000 0.000 1
Ru1 Ru 0.000 0.000 0.379 1
Pb1 Pb 0.000 0.000 0.698 1
```

Values from the calculation:
Energy of formation from the pure elements = 0.223 eV per atom
Total energy = -26.1 eV/f.u.



The following is a GGA-PBEsol calculation of a relaxed structure of Ti2Si2Cl, from the Alexandria database.

```
data_Ti2Si2Cl
_cell_length_a 6.868
_cell_length_b 6.868
_cell_length_c 3.333
_cell_angle_alpha 90.00
_cell_angle_beta 90.00
_cell_angle_gamma 90.00
_space_group_name_H-M_alt 'P 4/m b m'
_space_group_IT_number 127
_space_group_name_Hall '-P 4 2ab'
loop_
_atom_site_label
_atom_site_type_symbol
_atom_site_fract_x
_atom_site_fract_y
_atom_site_fract_z
_atom_site_occupancy
Ti1 Ti 0.175 0.325 0.000 1
Si1 Si 0.119 0.619 0.500 1
Cl1 Cl 0.000 0.000 0.000 1
```

Values from the calculation:
Energy relative to the elements, uncorrected = -0.58 eV/atom
Total energy = -33.0 eV/f.u.



The following is a GGA-PBEsol calculation of a relaxed structure of MgTaB3, from the Alexandria database.

```
data_MgTaB3
_cell_length_a 4.226
_cell_length_b 4.226
_cell_length_c 4.226
_cell_angle_alpha 90.00
_cell_angle_beta 90.00
_cell_angle_gamma 90.00
_space_group_name_H-M_alt 'P m -3 m'
_space_group_IT_number 221
_space_group_name_Hall '-P 4 2 3'
loop_
_atom_site_label
_atom_site_type_symbol
_atom_site_fract_x
_atom_site_fract_y
_atom_site_fract_z
_atom_site_occupancy
Mg1 Mg 0.000 0.000 0.000 1
Ta1 Ta 0.500 0.500 0.500 1
B1 B 0.000 0.500 0.500 1
```

Values from the calculation:
Energy of formation from the pure elements = 1.108 eV per atom
Total energy = -29.8 eV/f.u.



The following is a GGA-PBEsol calculation of a relaxed structure of TiCr3Br, from the Alexandria database.

```
data_TiCr3Br
_cell_length_a 4.637
_cell_length_b 4.637
_cell_length_c 4.637
_cell_angle_alpha 90.00
_cell_angle_beta 90.00
_cell_angle_gamma 90.00
_space_group_name_H-M_alt 'P m -3 m'
_space_group_IT_number 221
_space_group_name_Hall '-P 4 2 3'
loop_
_atom_site_label
_atom_site_type_symbol
_atom_site_fract_x
_atom_site_fract_y
_atom_site_fract_z
_atom_site_occupancy
Ti1 Ti 0.000 0.000 0.000 1
Cr1 Cr 0.000 0.000 0.500 1
Br1 Br 0.500 0.500 0.500 1
```

Values from the calculation:
Energy relative to the elements, uncorrected = 1.65 eV/atom
Total energy = -32.7 eV/f.u.



The following is a GGA-PBEsol calculation of a relaxed structure of ZrBr3, from the Alexandria database.

```
data_ZrBr3
_cell_length_a 3.364
_cell_length_b 10.857
_cell_length_c 6.692
_cell_angle_alpha 90.00
_cell_angle_beta 90.00
_cell_angle_gamma 90.00
_space_group_name_H-M_alt 'I m m 2'
_space_group_IT_number 44
loop_
_space_group_symop_operation_xyz
'x,y,z'
'-x,-y,z'
'-x,y,z'
'x,-y,z'
'x+1/2,y+1/2,z+1/2'
'-x+1/2,-y+1/2,z+1/2'
'-x+1/2,y+1/2,z+1/2'
'x+1/2,-y+1/2,z+1/2'
loop_
_atom_site_label
_atom_site_type_symbol
_atom_site_fract_x
_atom_site_fract_y
_atom_site_fract_z
_atom_site_occupancy
Zr1 Zr 0.000 0.000 0.000 1
Br1 Br 0.000 0.335 0.658 1
Br2 Br 0.000 0.500 0.190 1
```

Values from the calculation:
Energy relative to the elements, uncorrected = -1.31 eV/atom
Total energy = -19.9 eV/f.u.



The following is a GGA-PBEsol calculation of a relaxed structure of Zr2FeOs, from the Alexandria database.

```
data_Zr2FeOs
_cell_length_a 3.784
_cell_length_b 3.784
_cell_length_c 9.310
_cell_angle_alpha 90.00
_cell_angle_beta 90.00
_cell_angle_gamma 90.00
_space_group_name_H-M_alt 'I -4 m 2'
_space_group_IT_number 119
_space_group_name_Hall 'I -4 -2'
loop_
_atom_site_label
_atom_site_type_symbol
_atom_site_fract_x
_atom_site_fract_y
_atom_site_fract_z
_atom_site_occupancy
Zr1 Zr 0.000 0.000 0.000 1
Zr2 Zr 0.000 0.500 0.250 1
Fe1 Fe 0.000 0.000 0.500 1
Os1 Os 0.000 0.500 0.750 1
```

Values from the calculation:
Energy of formation from the pure elements = -0.048 eV per atom
Total energy = -39.6 eV/f.u.



The following is a GGA-PBEsol calculation of a relaxed structure of CrHgIr, from the Alexandria database.

```
data_CrHgIr
_cell_length_a 6.127
_cell_length_b 6.127
_cell_length_c 6.127
_cell_angle_alpha 90.00
_cell_angle_beta 90.00
_cell_angle_gamma 90.00
_space_group_name_H-M_alt 'F -4 3 m'
_space_group_IT_number 216
_space_group_name_Hall 'F -4 2 3'
loop_
_atom_site_label
_atom_site_type_symbol
_atom_site_fract_x
_atom_site_fract_y
_atom_site_fract_z
_atom_site_occupancy
Cr1 Cr 0.000 0.000 0.000 1
Hg1 Hg 0.250 0.250 0.750 1
Ir1 Ir 0.000 0.000 0.500 1
```

Values from the calculation:
Energy of formation from the pure elements = 1.111 eV per atom
Total energy = -17.3 eV/f.u.



The following is a GGA-PBEsol calculation of a relaxed structure of NiH2Pt, from the Alexandria database.

```
data_NiH2Pt
_cell_length_a 3.956
_cell_length_b 3.956
_cell_length_c 8.282
_cell_angle_alpha 90.00
_cell_angle_beta 90.00
_cell_angle_gamma 90.00
_space_group_name_H-M_alt 'I -4 2 d'
_space_group_IT_number 122
_space_group_name_Hall 'I -4 2bw'
loop_
_atom_site_label
_atom_site_type_symbol
_atom_site_fract_x
_atom_site_fract_y
_atom_site_fract_z
_atom_site_occupancy
Ni1 Ni 0.000 0.000 0.000 1
H1 H 0.216 0.250 0.125 1
Pt1 Pt 0.000 0.000 0.500 1
```

Values from the calculation:
Total energy = -19.7 eV/f.u.



The following is a GGA-PBEsol calculation of a relaxed structure of HfZnRu3, from the Alexandria database.

```
data_HfZnRu3
_cell_length_a 4.669
_cell_length_b 4.669
_cell_length_c 4.669
_cell_angle_alpha 90.00
_cell_angle_beta 90.00
_cell_angle_gamma 90.00
_space_group_name_H-M_alt 'P m -3 m'
_space_group_IT_number 221
_space_group_name_Hall '-P 4 2 3'
loop_
_atom_site_label
_atom_site_type_symbol
_atom_site_fract_x
_atom_site_fract_y
_atom_site_fract_z
_atom_site_occupancy
Hf1 Hf 0.000 0.000 0.000 1
Zn1 Zn 0.500 0.500 0.500 1
Ru1 Ru 0.000 0.000 0.500 1
```

Values from the calculation:
Energy of formation from the pure elements = 1.727 eV per atom
Total energy = -34.0 eV/f.u.



The following is a GGA-PBEsol calculation of a relaxed structure of In2Pb3, from the Alexandria database.

```
data_In2Pb3
_cell_length_a 3.4023
_cell_length_b 3.4023
_cell_length_c 42.0093
_cell_angle_alpha 90.00
_cell_angle_beta 90.00
_cell_angle_gamma 120.00
_space_group_name_H-M_alt 'R -3 m'
_space_group_IT_number 166
_space_group_name_Hall '-R 3 2"'
loop_
_atom_site_label
_atom_site_type_symbol
_atom_site_fract_x
_atom_site_fract_y
_atom_site_fract_z
_atom_site_occupancy
In1 In 0.0000 0.0000 0.1007 1
Pb1 Pb 0.0000 0.0000 0.2980 1
Pb2 Pb 0.0000 0.0000 0.5000 1
```

Values from the calculation:
Energy of formation from the pure elements = 0.012 eV per atom
Total energy = -17.9 eV/f.u.



The following is a GGA-PBEsol calculation of a relaxed structure of MgSiPb, from the Alexandria database.

```
data_MgSiPb
_cell_length_a 4.5688
_cell_length_b 4.5688
_cell_length_c 3.8919
_cell_angle_alpha 90.00
_cell_angle_beta 90.00
_cell_angle_gamma 120.00
_space_group_name_H-M_alt 'P 3 m 1'
_space_group_IT_number 156
loop_
_space_group_symop_operation_xyz
'x,y,z'
'-y,x-y,z'
'-x+y,-x,z'
'-y,-x,z'
'-x+y,y,z'
'x,x-y,z'
loop_
_atom_site_label
_atom_site_type_symbol
_atom_site_fract_x
_atom_site_fract_y
_atom_site_fract_z
_atom_site_occupancy
Mg1 Mg 0.0000 0.0000 0.0000 1
Si1 Si 0.3333 0.6667 0.0049 1
Pb1 Pb 0.6667 0.3333 0.5014 1
```

Values from the calculation:
Offset from the most stable computed form = 0.0 meV per atom
Energy relative to the elements, uncorrected = 0.25 eV/atom
Total energy = -10.7 eV/f.u.



The following is a GGA-PBEsol calculation of a relaxed structure of BeAu3, from the Alexandria database.

```
data_BeAu3
_cell_length_a 3.017
_cell_length_b 4.375
_cell_length_c 9.078
_cell_angle_alpha 90.00
_cell_angle_beta 90.00
_cell_angle_gamma 90.00
_space_group_name_H-M_alt 'I m m m'
_space_group_IT_number 71
_space_group_name_Hall '-I 2 2'
loop_
_atom_site_label
_atom_site_type_symbol
_atom_site_fract_x
_atom_site_fract_y
_atom_site_fract_z
_atom_site_occupancy
Be1 Be 0.000 0.000 0.000 1
Au1 Au 0.000 0.000 0.500 1
Au2 Au 0.000 0.500 0.300 1
```

Values from the calculation:
Energy of formation from the pure elements = -0.099 eV per atom
Total energy = -16.2 eV/f.u.



The following is a GGA-PBEsol calculation of a relaxed structure of BaYMnCoO5, from the Alexandria database.

```
data_BaYMnCoO5
_cell_length_a 5.382
_cell_length_b 5.382
_cell_length_c 7.388
_cell_angle_alpha 90.00
_cell_angle_beta 90.00
_cell_angle_gamma 90.00
_space_group_name_H-M_alt 'P 4/n m m'
_space_group_IT_number 129
loop_
_space_group_symop_operation_xyz
'x,y,z'
'-x,-y,-z'
'-y+1/2,x,z'
'y+1/2,-x,-z'
'-x+1/2,-y+1/2,z'
'x+1/2,y+1/2,-z'
'y,-x+1/2,z'
'-y,x+1/2,-z'
'x+1/2,-y,-z'
'-x+1/2,y,z'
'-y,-x,-z'
'y,x,z'
'-x,y+1/2,-z'
'x,-y+1/2,z'
'y+1/2,x+1/2,-z'
'-y+1/2,-x+1/2,z'
loop_
_atom_site_label
_atom_site_type_symbol
_atom_site_fract_x
_atom_site_fract_y
_atom_site_fract_z
_atom_site_occupancy
Ba1 Ba 0.250 0.750 0.000 1
Y1 Y 0.250 0.750 0.500 1
Mn1 Mn 0.250 0.250 0.265 1
Co1 Co 0.250 0.250 0.725 1
O1 O 0.000 0.000 0.309 1
O2 O 0.250 0.250 0.006 1
```

Values from the calculation:
Offset from the most stable computed form = 0.0 meV per atom
Energy relative to the elements, uncorrected = -2.27 eV/atom
Total energy = -73.1 eV/f.u.



The following is a GGA-PBEsol calculation of a relaxed structure of CsSi2Ag, from the Alexandria database.

```
data_CsSi2Ag
_cell_length_a 7.125
_cell_length_b 7.125
_cell_length_c 7.125
_cell_angle_alpha 90.00
_cell_angle_beta 90.00
_cell_angle_gamma 90.00
_space_group_name_H-M_alt 'F m -3 m'
_space_group_IT_number 225
_space_group_name_Hall '-F 4 2 3'
loop_
_atom_site_label
_atom_site_type_symbol
_atom_site_fract_x
_atom_site_fract_y
_atom_site_fract_z
_atom_site_occupancy
Cs1 Cs 0.000 0.000 0.000 1
Si1 Si 0.250 0.250 0.250 1
Ag1 Ag 0.000 0.000 0.500 1
```

Values from the calculation:
Energy relative to the elements, uncorrected = 0.90 eV/atom
Total energy = -12.1 eV/f.u.



The following is a GGA-PBEsol calculation of a relaxed structure of KTc2Cl, from the Alexandria database.

```
data_KTc2Cl
_cell_length_a 3.607
_cell_length_b 3.607
_cell_length_c 7.135
_cell_angle_alpha 90.00
_cell_angle_beta 90.00
_cell_angle_gamma 90.00
_space_group_name_H-M_alt 'P 4/m m m'
_space_group_IT_number 123
_space_group_name_Hall '-P 4 2'
loop_
_atom_site_label
_atom_site_type_symbol
_atom_site_fract_x
_atom_site_fract_y
_atom_site_fract_z
_atom_site_occupancy
K1 K 0.000 0.000 0.000 1
Tc1 Tc 0.000 0.500 0.500 1
Cl1 Cl 0.500 0.500 0.000 1
```

Values from the calculation:
Offset from the most stable computed form = 0.0 meV per atom
Energy relative to the elements, uncorrected = 0.87 eV/atom
Total energy = -22.2 eV/f.u.



The following is a GGA-PBEsol calculation of a relaxed structure of ZrAl2Cu, from the Alexandria database.

```
data_ZrAl2Cu
_cell_length_a 5.731
_cell_length_b 8.381
_cell_length_c 2.778
_cell_angle_alpha 90.00
_cell_angle_beta 90.00
_cell_angle_gamma 90.00
_space_group_name_H-M_alt 'C m m m'
_space_group_IT_number 65
_space_group_name_Hall '-C 2 2'
loop_
_atom_site_label
_atom_site_type_symbol
_atom_site_fract_x
_atom_site_fract_y
_atom_site_fract_z
_atom_site_occupancy
Zr1 Zr 0.000 0.000 0.000 1
Al1 Al 0.250 0.250 0.500 1
Cu1 Cu 0.000 0.500 0.000 1
```

Values from the calculation:
Energy of formation from the pure elements = -0.167 eV per atom
Total energy = -22.3 eV/f.u.



The following is a GGA-PBEsol calculation of a relaxed structure of ZrSiHg, from the Alexandria database.

```
data_ZrSiHg
_cell_length_a 6.451
_cell_length_b 6.451
_cell_length_c 6.451
_cell_angle_alpha 90.00
_cell_angle_beta 90.00
_cell_angle_gamma 90.00
_space_group_name_H-M_alt 'F -4 3 m'
_space_group_IT_number 216
_space_group_name_Hall 'F -4 2 3'
loop_
_atom_site_label
_atom_site_type_symbol
_atom_site_fract_x
_atom_site_fract_y
_atom_site_fract_z
_atom_site_occupancy
Zr1 Zr 0.000 0.000 0.000 1
Si1 Si 0.250 0.250 0.250 1
Hg1 Hg 0.250 0.250 0.750 1
```

Values from the calculation:
Offset from the most stable computed form = 163.1 meV per atom
Energy relative to the elements, uncorrected = 0.09 eV/atom
Total energy = -15.1 eV/f.u.



The following is a GGA-PBEsol calculation of a relaxed structure of Ta2CoRh, from the Alexandria database.

```
data_Ta2CoRh
_cell_length_a 2.805
_cell_length_b 2.805
_cell_length_c 7.359
_cell_angle_alpha 90.00
_cell_angle_beta 90.00
_cell_angle_gamma 90.00
_space_group_name_H-M_alt 'P 4/m m m'
_space_group_IT_number 123
_space_group_name_Hall '-P 4 2'
loop_
_atom_site_label
_atom_site_type_symbol
_atom_site_fract_x
_atom_site_fract_y
_atom_site_fract_z
_atom_site_occupancy
Ta1 Ta 0.000 0.000 0.236 1
Co1 Co 0.500 0.500 0.000 1
Rh1 Rh 0.500 0.500 0.500 1
```

Values from the calculation:
Energy of formation from the pure elements = -0.305 eV per atom
Total energy = -42.2 eV/f.u.